[1]
Here is a PBEsol-optimized structure of CuNi2Ir from Alexandria via LeMat-Bulk. Energies are from meta-GGA SCAN.

```
data_CuNi2Ir
_chemical_formula_sum 'Cu2 Ni4 Ir2'
_symmetry_space_group_name_H-M 'P 1'
_symmetry_Int_Tables_number 1
_cell_length_a 5.079
_cell_length_b 7.123
_cell_length_c 2.570
_cell_angle_alpha 90.00
_cell_angle_beta 90.00
_cell_angle_gamma 90.00
loop_
_symmetry_equiv_pos_as_xyz
'x,y,z'
loop_
_atom_site_label
_atom_site_fract_x
_atom_site_fract_y
_atom_site_fract_z
Cu1 0.000 0.000 0.000
Cu2 0.500 0.500 0.000
Ni1 0.250 0.250 0.500
Ni2 0.250 0.750 0.500
Ni3 0.750 0.250 0.500
Ni4 0.750 0.750 0.500
Ir1 0.000 0.500 0.000
Ir2 0.500 0.000 0.000
```

Output
Crystal system: orthorhombic
Energy of formation from the pure elements, eV per atom: 0.018

[2]
Here is a PBEsol-optimized structure of SrMg2Rh2 from Alexandria via LeMat-Bulk. Energies are from meta-GGA SCAN.

```
data_SrMg2Rh2
_chemical_formula_sum 'Sr2 Mg4 Rh4'
_symmetry_space_group_name_H-M 'P 1'
_symmetry_Int_Tables_number 1
_cell_length_a 7.753
_cell_length_b 7.753
_cell_length_c 3.083
_cell_angle_alpha 90.00
_cell_angle_beta 90.00
_cell_angle_gamma 90.00
loop_
_symmetry_equiv_pos_as_xyz
'x,y,z'
loop_
_atom_site_label
_atom_site_fract_x
_atom_site_fract_y
_atom_site_fract_z
Sr1 0.000 0.000 0.000
Sr2 0.500 0.500 0.000
Mg1 0.135 0.365 0.500
Mg2 0.365 0.865 0.500
Mg3 0.635 0.135 0.500
Mg4 0.865 0.635 0.500
Rh1 0.155 0.655 0.000
Rh2 0.345 0.155 0.000
Rh3 0.655 0.845 0.000
Rh4 0.845 0.345 0.000
```

Output
Crystal system: tetragonal
Energy of formation from the pure elements, eV per atom: -0.362

[3]
Here is a PBEsol-optimized structure of Tb2S3 from Alexandria via LeMat-Bulk. Energies are from meta-GGA SCAN.

```
data_Tb2S3
_chemical_formula_sum 'Tb8 S12'
_symmetry_space_group_name_H-M 'P 1'
_symmetry_Int_Tables_number 1
_cell_length_a 7.207
_cell_length_b 3.862
_cell_length_c 15.016
_cell_angle_alpha 90.00
_cell_angle_beta 90.00
_cell_angle_gamma 90.00
loop_
_symmetry_equiv_pos_as_xyz
'x,y,z'
loop_
_atom_site_label
_atom_site_fract_x
_atom_site_fract_y
_atom_site_fract_z
Tb1 0.141 0.250 0.204
Tb2 0.234 0.750 0.457
Tb3 0.266 0.250 0.957
Tb4 0.359 0.750 0.704
Tb5 0.641 0.250 0.296
Tb6 0.734 0.750 0.043
Tb7 0.766 0.250 0.543
Tb8 0.859 0.750 0.796
S1 0.007 0.250 0.391
S2 0.124 0.750 0.067
S3 0.148 0.250 0.781
S4 0.352 0.750 0.281
S5 0.376 0.250 0.567
S6 0.493 0.750 0.891
S7 0.507 0.250 0.109
S8 0.624 0.750 0.433
S9 0.648 0.250 0.719
S10 0.852 0.750 0.219
S11 0.876 0.250 0.933
S12 0.993 0.750 0.609
```

Output
Crystal system: orthorhombic
Total energy, eV/cell: -536.7

[4]
Here is a PBEsol-optimized structure of ScMnRu2 from Alexandria via LeMat-Bulk. Energies are from meta-GGA SCAN.

```
data_ScMnRu2
_chemical_formula_sum 'Sc1 Mn1 Ru2'
_symmetry_space_group_name_H-M 'P 1'
_symmetry_Int_Tables_number 1
_cell_length_a 2.788
_cell_length_b 2.788
_cell_length_c 7.486
_cell_angle_alpha 90.00
_cell_angle_beta 90.00
_cell_angle_gamma 90.00
loop_
_symmetry_equiv_pos_as_xyz
'x,y,z'
loop_
_atom_site_label
_atom_site_fract_x
_atom_site_fract_y
_atom_site_fract_z
Sc1 0.000 0.000 0.000
Mn1 0.500 0.500 0.269
Ru1 0.000 0.000 0.493
Ru2 0.500 0.500 0.717
```

Output
Crystal system: tetragonal
Energy of formation from the pure elements, eV per atom: -0.041

[5]
Here is a PBEsol-optimized structure of MgFe2Pb from Alexandria via LeMat-Bulk. Energies are from meta-GGA SCAN.

```
data_MgFe2Pb
_chemical_formula_sum 'Mg1 Fe2 Pb1'
_symmetry_space_group_name_H-M 'P 1'
_symmetry_Int_Tables_number 1
_cell_length_a 3.992
_cell_length_b 3.992
_cell_length_c 4.024
_cell_angle_alpha 90.00
_cell_angle_beta 90.00
_cell_angle_gamma 90.00
loop_
_symmetry_equiv_pos_as_xyz
'x,y,z'
loop_
_atom_site_label
_atom_site_fract_x
_atom_site_fract_y
_atom_site_fract_z
Mg1 0.000 0.000 0.000
Fe1 0.000 0.500 0.500
Fe2 0.500 0.000 0.500
Pb1 0.500 0.500 0.000
```

Output
Crystal system: tetragonal
Energy of formation from the pure elements, eV per atom: 0.282

[6]
Here is a PBEsol-optimized structure of BaCa2Al from Alexandria via LeMat-Bulk. Energies are from meta-GGA SCAN.

```
data_BaCa2Al
_chemical_formula_sum 'Ba2 Ca4 Al2'
_symmetry_space_group_name_H-M 'P 1'
_symmetry_Int_Tables_number 1
_cell_length_a 3.909
_cell_length_b 6.091
_cell_length_c 12.384
_cell_angle_alpha 90.00
_cell_angle_beta 90.00
_cell_angle_gamma 90.00
loop_
_symmetry_equiv_pos_as_xyz
'x,y,z'
loop_
_atom_site_label
_atom_site_fract_x
_atom_site_fract_y
_atom_site_fract_z
Ba1 0.000 0.000 0.000
Ba2 0.500 0.500 0.500
Ca1 0.000 0.500 0.200
Ca2 0.000 0.500 0.800
Ca3 0.500 0.000 0.300
Ca4 0.500 0.000 0.700
Al1 0.000 0.000 0.500
Al2 0.500 0.500 0.000
```

Output
Crystal system: orthorhombic
Energy of formation from the pure elements, eV per atom: -0.041